## CeHF5 (GGA-PBE)

Data for a relaxed structure of CeHF5.

The calculation puts the total energy at -0.2114 Ha/atom.

It has space group Pnma (No. 62), with a = 12.626 Å, b = 6.008 Å, c = 5.848 Å, α = 90.00°, β = 90.00° and γ = 90.00°. The asymmetric unit holds Ce at (0.007, 0.250, 0.213), H at (0.239, 0.750, 0.724), F at (0.000, 0.000, 0.500), F at (0.096, 0.501, 0.985), F at (0.170, 0.250, 0.337) and F at (0.170, 0.750, 0.631).

***

## Na8As2Pb (GGA-PBE)

Data for a relaxed structure of Na8As2Pb.

Its formation energy is -3.16 eV per formula unit.

It has space group Immm (No. 71), with a = 5.017 Å, b = 8.625 Å, c = 13.402 Å, α = 90.00°, β = 90.00° and γ = 90.00°. The asymmetric unit holds Na at (0.000, 0.000, 0.152), Na at (0.000, 0.207, 0.336), Na at (0.000, 0.317, 0.000), As at (0.000, 0.500, 0.204) and Pb at (0.000, 0.500, 0.500).

***

## PbC (GGA-PBE)

Data for a relaxed structure of PbC.

Its formation energy is 3.42 eV per formula unit.

It has space group P2_12_12_1 (No. 19), with a = 6.791 Å, b = 6.833 Å, c = 7.812 Å, α = 90.00°, β = 90.00° and γ = 90.00°. The asymmetric unit holds Pb at (0.165, 0.080, 0.283), Pb at (0.200, 0.405, 0.974), C at (0.137, 0.427, 0.270) and C at (0.152, 0.899, 0.533).